1.
A plane-wave DFT calculation with PBE was carried out for a relaxed Nd2SmY6Tm3 crystal.

Computed properties:
crystal system = monoclinic
space group = C2/m (12)
spin magnetization = 0.000 μB/cell
D(E_F) = 17.72 states/eV per cell
ΔE_f = 23 meV/atom
raw total energy = -5.51 eV/atom

Cell: 6.194 6.194 11.827 Å, 95.00 95.00 119.96°
Sites, in units of the cell vectors:
Nd1 0.167 0.833 0.000
Nd2 0.833 0.167 0.000
Sm1 0.500 0.500 0.000
Y1 0.082 0.415 0.746
Y2 0.252 0.252 0.254
Y3 0.415 0.082 0.746
Y4 0.585 0.918 0.254
Y5 0.748 0.748 0.746
Y6 0.918 0.585 0.254
Tm1 0.000 0.000 0.500
Tm2 0.333 0.667 0.500
Tm3 0.667 0.333 0.500



2.
A plane-wave DFT calculation with PBE was carried out for a relaxed Pr2Ho2Mg15 crystal.

Computed properties:
crystal system = trigonal
space group = R-3m (166)
spin magnetization = 0.001 μB/cell
D(E_F) = 14.41 states/eV per cell
ΔE_f = -11 meV/atom
raw total energy = -2.25 eV/atom

Cell: 7.942 7.942 7.942 Å, 83.24 83.24 83.24°
Sites, in units of the cell vectors:
Pr1 0.168 0.168 0.168
Pr2 0.832 0.832 0.832
Ho1 0.400 0.400 0.400
Ho2 0.600 0.600 0.600
Mg1 0.000 0.500 0.500
Mg2 0.143 0.143 0.655
Mg3 0.143 0.655 0.143
Mg4 0.204 0.500 0.796
Mg5 0.204 0.796 0.500
Mg6 0.345 0.857 0.857
Mg7 0.500 0.000 0.500
Mg8 0.500 0.204 0.796
Mg9 0.500 0.500 0.000
Mg10 0.500 0.796 0.204
Mg11 0.655 0.143 0.143
Mg12 0.796 0.204 0.500
Mg13 0.796 0.500 0.204
Mg14 0.857 0.345 0.857
Mg15 0.857 0.857 0.345



3.
A plane-wave DFT calculation with PBE was carried out for a relaxed IrRuPt2 crystal.

Computed properties:
crystal system = tetragonal
space group = P4mm (99)
spin magnetization = 0.000 μB/cell
D(E_F) = 3.44 states/eV per cell
energy above the most stable polymorph in this dataset = 0.000 eV/atom
ΔE_f = -44 meV/atom
raw total energy = -7.60 eV/atom

Cell: 2.745 2.745 7.932 Å, 90.00 90.00 90.00°
Sites, in units of the cell vectors:
Ir1 0.000 0.000 0.000
Ru1 0.500 0.500 0.775
Pt1 0.000 0.000 0.525
Pt2 0.500 0.500 0.257



4.
A plane-wave DFT calculation with PBE was carried out for a relaxed Ho3Th5N8 crystal.

Computed properties:
crystal system = trigonal
space group = R-3m (166)
spin magnetization = 0.000 μB/cell
D(E_F) = 7.01 states/eV per cell
raw total energy = -8.94 eV/atom

Cell: 7.177 7.177 7.177 Å, 59.99 59.99 59.99°
Sites, in units of the cell vectors:
Ho1 0.000 0.500 0.500
Ho2 0.500 0.000 0.500
Ho3 0.500 0.500 0.000
Th1 0.000 0.000 0.000
Th2 0.000 0.000 0.500
Th3 0.000 0.500 0.000
Th4 0.500 0.000 0.000
Th5 0.500 0.500 0.500
N1 0.250 0.250 0.743
N2 0.250 0.743 0.250
N3 0.252 0.252 0.252
N4 0.257 0.750 0.750
N5 0.743 0.250 0.250
N6 0.748 0.748 0.748
N7 0.750 0.257 0.750
N8 0.750 0.750 0.257